A relaxed Hg3AsI2 crystal, computed with GGA-PBE.

Lattice parameters (Å, degrees): 8.380 8.601 7.851 98.00 122.26 90.00
Positions (direct):
I1 0.564 0.907 0.277
I2 0.713 0.407 0.277
I3 0.436 0.093 0.723
I4 0.287 0.593 0.723
As1 0.976 0.750 0.000
As2 0.024 0.250 0.000
Hg1 0.850 0.968 0.727
Hg2 0.670 0.750 0.000
Hg3 0.150 0.032 0.273
Hg4 0.330 0.250 0.000
Hg5 0.877 0.468 0.727
Hg6 0.123 0.532 0.273

As for the space group: C2/c. For the electronic total energy, the calculation gives -1.51 eV/atom. Its relative energy among the computed polymorphs is 17.0 meV per atom. The value obtained for the uncorrected formation energy is -68.1 meV/atom.